i) A plane-wave DFT calculation with GGA-PBE was carried out for an optimized crystal structure of FeAgHgGe.

Geometry as CIF:
```
data_FeAgHgGe
_chemical_formula_sum 'Fe1 Ag1 Hg1 Ge1'
_symmetry_space_group_name_H-M 'P 1'
_symmetry_Int_Tables_number 1
_cell_length_a 4.630
_cell_length_b 4.630
_cell_length_c 4.630
_cell_angle_alpha 60.00
_cell_angle_beta 60.00
_cell_angle_gamma 60.00
loop_
_symmetry_equiv_pos_as_xyz
'x,y,z'
loop_
_atom_site_label
_atom_site_fract_x
_atom_site_fract_y
_atom_site_fract_z
Fe1 0.750 0.750 0.750
Ge1 0.000 0.000 0.000
Ag1 0.250 0.250 0.250
Hg1 0.500 0.500 0.500
```

## Properties
SG: F-43m, No. 216
Spin magnetization, μB/f.u.: 2.5

***

ii) A plane-wave DFT calculation with GGA-PBE was carried out for an optimized crystal structure of FeAgHgGe.

Geometry as CIF:
```
data_FeAgHgGe
_chemical_formula_sum 'Fe1 Ag1 Hg1 Ge1'
_symmetry_space_group_name_H-M 'P 1'
_symmetry_Int_Tables_number 1
_cell_length_a 4.645
_cell_length_b 4.645
_cell_length_c 4.645
_cell_angle_alpha 60.00
_cell_angle_beta 60.00
_cell_angle_gamma 60.00
loop_
_symmetry_equiv_pos_as_xyz
'x,y,z'
loop_
_atom_site_label
_atom_site_fract_x
_atom_site_fract_y
_atom_site_fract_z
Fe1 0.750 0.750 0.750
Hg1 0.250 0.250 0.250
Ag1 0.500 0.500 0.500
Ge1 0.000 0.000 0.000
```

## Properties
SG: F-43m, No. 216
Spin magnetization, μB/f.u.: 2.4

***

The structure with the most favorable energy is i); the runner-up is 5.5 kJ/mol of atoms above it.

***

i) A plane-wave DFT calculation with GGA-PBE was carried out for an optimized crystal structure of FeNiAgGe.

Geometry as CIF:
```
data_FeNiAgGe
_chemical_formula_sum 'Fe1 Ni1 Ag1 Ge1'
_symmetry_space_group_name_H-M 'P 1'
_symmetry_Int_Tables_number 1
_cell_length_a 4.262
_cell_length_b 4.262
_cell_length_c 4.262
_cell_angle_alpha 60.00
_cell_angle_beta 60.00
_cell_angle_gamma 60.00
loop_
_symmetry_equiv_pos_as_xyz
'x,y,z'
loop_
_atom_site_label
_atom_site_fract_x
_atom_site_fract_y
_atom_site_fract_z
Ge1 0.000 0.000 0.000
Ag1 0.500 0.500 0.500
Fe1 0.750 0.750 0.750
Ni1 0.250 0.250 0.250
```

## Properties
SG: F-43m, No. 216
Spin magnetization, μB/f.u.: 2.5

***

ii) A plane-wave DFT calculation with GGA-PBE was carried out for an optimized crystal structure of FeNiAgGe.

Geometry as CIF:
```
data_FeNiAgGe
_chemical_formula_sum 'Fe1 Ni1 Ag1 Ge1'
_symmetry_space_group_name_H-M 'P 1'
_symmetry_Int_Tables_number 1
_cell_length_a 4.294
_cell_length_b 4.294
_cell_length_c 4.294
_cell_angle_alpha 60.00
_cell_angle_beta 60.00
_cell_angle_gamma 60.00
loop_
_symmetry_equiv_pos_as_xyz
'x,y,z'
loop_
_atom_site_label
_atom_site_fract_x
_atom_site_fract_y
_atom_site_fract_z
Ag1 0.250 0.250 0.250
Ge1 0.000 0.000 0.000
Ni1 0.500 0.500 0.500
Fe1 0.750 0.750 0.750
```

## Properties
SG: F-43m, No. 216
Spin magnetization, μB/f.u.: 3.0

***

The structure with the most favorable energy is i); the runner-up is 5.5 kJ/mol of atoms above it.

***

i) A plane-wave DFT calculation with GGA-PBE was carried out for an optimized crystal structure of FeAg2GeS4.

Geometry as CIF:
```
data_FeAg2GeS4
_chemical_formula_sum 'Fe1 Ag2 Ge1 S4'
_symmetry_space_group_name_H-M 'P 1'
_symmetry_Int_Tables_number 1
_cell_length_a 6.665
_cell_length_b 6.665
_cell_length_c 6.665
_cell_angle_alpha 129.17
_cell_angle_beta 129.17
_cell_angle_gamma 74.73
loop_
_symmetry_equiv_pos_as_xyz
'x,y,z'
loop_
_atom_site_label
_atom_site_fract_x
_atom_site_fract_y
_atom_site_fract_z
Ag1 0.250 0.750 0.500
Ag2 0.500 0.500 0.000
S1 0.374 0.335 0.458
S2 0.877 0.916 0.542
S3 0.084 0.626 0.961
S4 0.665 0.123 0.039
Fe1 0.750 0.250 0.500
Ge1 0.000 0.000 0.000
```

## Properties
SG: I-4, No. 82
Spin magnetization, μB/f.u.: 4.0

***

ii) A plane-wave DFT calculation with GGA-PBE was carried out for an optimized crystal structure of FeAg2GeS4.

Geometry as CIF:
```
data_FeAg2GeS4
_chemical_formula_sum 'Fe1 Ag2 Ge1 S4'
_symmetry_space_group_name_H-M 'P 1'
_symmetry_Int_Tables_number 1
_cell_length_a 6.928
_cell_length_b 6.928
_cell_length_c 6.928
_cell_angle_alpha 133.36
_cell_angle_beta 133.36
_cell_angle_gamma 68.09
loop_
_symmetry_equiv_pos_as_xyz
'x,y,z'
loop_
_atom_site_label
_atom_site_fract_x
_atom_site_fract_y
_atom_site_fract_z
S1 0.639 0.144 0.000
S2 0.856 0.856 0.494
S3 0.144 0.639 0.000
S4 0.361 0.361 0.506
Ag1 0.250 0.750 0.500
Ag2 0.750 0.250 0.500
Fe1 0.000 0.000 0.000
Ge1 0.500 0.500 0.000
```

## Properties
SG: I-42m, No. 121
Spin magnetization, μB/f.u.: 4.0

***

The structure with the most favorable energy is i); the runner-up is 2.6 kJ/mol of atoms above it.

***

i) A plane-wave DFT calculation with GGA-PBE was carried out for an optimized crystal structure of ScFeAgGe.

Geometry as CIF:
```
data_ScFeAgGe
_chemical_formula_sum 'Sc1 Fe1 Ag1 Ge1'
_symmetry_space_group_name_H-M 'P 1'
_symmetry_Int_Tables_number 1
_cell_length_a 4.549
_cell_length_b 4.549
_cell_length_c 4.549
_cell_angle_alpha 60.00
_cell_angle_beta 60.00
_cell_angle_gamma 60.00
loop_
_symmetry_equiv_pos_as_xyz
'x,y,z'
loop_
_atom_site_label
_atom_site_fract_x
_atom_site_fract_y
_atom_site_fract_z
Ag1 0.500 0.500 0.500
Ge1 0.000 0.000 0.000
Sc1 0.250 0.250 0.250
Fe1 0.750 0.750 0.750
```

## Properties
SG: F-43m, No. 216
Spin magnetization, μB/f.u.: 2.5

***

ii) A plane-wave DFT calculation with GGA-PBE was carried out for an optimized crystal structure of ScFeAgGe.

Geometry as CIF:
```
data_ScFeAgGe
_chemical_formula_sum 'Sc1 Fe1 Ag1 Ge1'
_symmetry_space_group_name_H-M 'P 1'
_symmetry_Int_Tables_number 1
_cell_length_a 4.496
_cell_length_b 4.496
_cell_length_c 4.496
_cell_angle_alpha 60.00
_cell_angle_beta 60.00
_cell_angle_gamma 60.00
loop_
_symmetry_equiv_pos_as_xyz
'x,y,z'
loop_
_atom_site_label
_atom_site_fract_x
_atom_site_fract_y
_atom_site_fract_z
Ag1 0.250 0.250 0.250
Fe1 0.750 0.750 0.750
Sc1 0.500 0.500 0.500
Ge1 0.000 0.000 0.000
```

## Properties
SG: F-43m, No. 216
Spin magnetization, μB/f.u.: 1.7

***

The structure with the most favorable energy is i); the runner-up is 7.6 kJ/mol of atoms above it.

***

i) A plane-wave DFT calculation with GGA-PBE was carried out for an optimized crystal structure of YFeAgGe.

Geometry as CIF:
```
data_YFeAgGe
_chemical_formula_sum 'Y1 Fe1 Ag1 Ge1'
_symmetry_space_group_name_H-M 'P 1'
_symmetry_Int_Tables_number 1
_cell_length_a 4.702
_cell_length_b 4.702
_cell_length_c 4.702
_cell_angle_alpha 60.00
_cell_angle_beta 60.00
_cell_angle_gamma 60.00
loop_
_symmetry_equiv_pos_as_xyz
'x,y,z'
loop_
_atom_site_label
_atom_site_fract_x
_atom_site_fract_y
_atom_site_fract_z
Ge1 0.000 0.000 0.000
Y1 0.500 0.500 0.500
Ag1 0.250 0.250 0.250
Fe1 0.750 0.750 0.750
```

## Properties
SG: F-43m, No. 216
Spin magnetization, μB/f.u.: 2.1

***

ii) A plane-wave DFT calculation with GGA-PBE was carried out for an optimized crystal structure of YFeAgGe.

Geometry as CIF:
```
data_YFeAgGe
_chemical_formula_sum 'Y1 Fe1 Ag1 Ge1'
_symmetry_space_group_name_H-M 'P 1'
_symmetry_Int_Tables_number 1
_cell_length_a 4.739
_cell_length_b 4.739
_cell_length_c 4.739
_cell_angle_alpha 60.00
_cell_angle_beta 60.00
_cell_angle_gamma 60.00
loop_
_symmetry_equiv_pos_as_xyz
'x,y,z'
loop_
_atom_site_label
_atom_site_fract_x
_atom_site_fract_y
_atom_site_fract_z
Ag1 0.500 0.500 0.500
Ge1 0.000 0.000 0.000
Y1 0.250 0.250 0.250
Fe1 0.750 0.750 0.750
```

## Properties
SG: F-43m, No. 216
Spin magnetization, μB/f.u.: 2.6

***

The structure with the most favorable energy is ii); the runner-up is 11.7 kJ/mol of atoms above it.

***

i) A plane-wave DFT calculation with GGA-PBE was carried out for an optimized crystal structure of HfFeAgSn.

Geometry as CIF:
```
data_HfFeAgSn
_chemical_formula_sum 'Hf1 Fe1 Ag1 Sn1'
_symmetry_space_group_name_H-M 'P 1'
_symmetry_Int_Tables_number 1
_cell_length_a 4.612
_cell_length_b 4.612
_cell_length_c 4.612
_cell_angle_alpha 60.00
_cell_angle_beta 60.00
_cell_angle_gamma 60.00
loop_
_symmetry_equiv_pos_as_xyz
'x,y,z'
loop_
_atom_site_label
_atom_site_fract_x
_atom_site_fract_y
_atom_site_fract_z
Fe1 0.750 0.750 0.750
Hf1 0.500 0.500 0.500
Ag1 0.250 0.250 0.250
Sn1 0.000 0.000 0.000
```

## Properties
SG: F-43m, No. 216
Spin magnetization, μB/f.u.: 1.4

***

ii) A plane-wave DFT calculation with GGA-PBE was carried out for an optimized crystal structure of HfFeAgSn.

Geometry as CIF:
```
data_HfFeAgSn
_chemical_formula_sum 'Hf1 Fe1 Ag1 Sn1'
_symmetry_space_group_name_H-M 'P 1'
_symmetry_Int_Tables_number 1
_cell_length_a 4.632
_cell_length_b 4.632
_cell_length_c 4.632
_cell_angle_alpha 60.00
_cell_angle_beta 60.00
_cell_angle_gamma 60.00
loop_
_symmetry_equiv_pos_as_xyz
'x,y,z'
loop_
_atom_site_label
_atom_site_fract_x
_atom_site_fract_y
_atom_site_fract_z
Hf1 0.250 0.250 0.250
Fe1 0.750 0.750 0.750
Sn1 0.000 0.000 0.000
Ag1 0.500 0.500 0.500
```

## Properties
SG: F-43m, No. 216
Spin magnetization, μB/f.u.: 2.3

***

The structure with the most favorable energy is i); the runner-up is 13.0 kJ/mol of atoms above it.